1.
## Dy2Y3Sc2 (GGA-PBE)

Data for a geometry-optimized Dy2Y3Sc2 structure.

Unit cell a=3.4342 b=5.2255 c=11.9095 alpha=77.33 beta=90.00 gamma=90.00
Last column: nearest neighbours and their distance in Å.
Fractional positions:
Dy  0.5000  0.2851  0.4297  4 Dy 3.08-3.43, 1 Y 3.24
Dy  0.5000  0.7149  0.5703  4 Dy 3.08-3.43, 1 Y 3.24
Y  0.5000  0.4245  0.1509  1 Dy 3.24, 7 Y 3.43-3.58, 4 Sc 3.60
Y  0.5000  0.5755  0.8491  1 Dy 3.24, 7 Y 3.43-3.58, 4 Sc 3.60
Y  0.0000  0.0000  0.0000  10 Y 3.43-3.58, 2 Sc 3.53
Sc  0.0000  0.1519  0.6963  2 Sc 3.43, 6 Dy 3.45-3.54, 5 Y 3.53-3.60
Sc  0.0000  0.8481  0.3037  2 Sc 3.43, 6 Dy 3.45-3.54, 5 Y 3.53-3.60

Output
E_form = 0.081 eV/atom
distance to the lowest polymorph of the same formula = 0.00 eV per formula unit
mass density = 5.428 Mg/m³

=====

2.
## DyYSc2 (GGA-PBE)

Data for a geometry-optimized DyYSc2 structure.

Unit cell a=4.6814 b=4.8941 c=4.8941 alpha=90.00 beta=90.00 gamma=90.00
Last column: nearest neighbours and their distance in Å.
Fractional positions:
Y  0.5000  0.0000  0.0000  8 Sc 3.39, 4 Dy 3.46
Sc  0.0000  0.0000  0.5000  4 Dy 3.39, 4 Y 3.39, 4 Sc 3.46
Sc  0.0000  0.5000  0.0000  4 Dy 3.39, 4 Y 3.39, 4 Sc 3.46
Dy  0.5000  0.5000  0.5000  8 Sc 3.39, 4 Y 3.46

Output
E_form = 0.057 eV/atom
distance to the lowest polymorph of the same formula = 0.09 eV per formula unit
mass density = 5.055 Mg/m³

=====

3.
## Dy5Y6Sc2 (GGA-PBE)

Data for a geometry-optimized Dy5Y6Sc2 structure.

Unit cell a=3.4985 b=10.6038 c=22.1732 alpha=90.00 beta=90.00 gamma=90.00
Last column: nearest neighbours and their distance in Å.
Fractional positions:
Dy  0.5000  0.3342  0.4888  4 Dy 3.50-3.55, 7 Y 3.52-3.80
Dy  0.5000  0.6658  0.5112  4 Dy 3.50-3.55, 7 Y 3.52-3.80
Dy  0.5000  0.8342  0.0112  4 Dy 3.50-3.55, 7 Y 3.52-3.80
Dy  0.5000  0.1658  0.9888  4 Dy 3.50-3.55, 7 Y 3.52-3.80
Dy  0.5000  0.5858  0.2513  4 Sc 3.21-3.22, 2 Dy 3.50, 5 Y 3.50-3.57
Dy  0.5000  0.4142  0.7487  4 Sc 3.21-3.22, 2 Dy 3.50, 5 Y 3.50-3.57
Dy  0.5000  0.0858  0.2487  4 Sc 3.21-3.22, 2 Dy 3.50, 5 Y 3.50-3.57
Dy  0.5000  0.9142  0.7513  4 Sc 3.21-3.22, 2 Dy 3.50, 5 Y 3.50-3.57
Dy  0.5000  0.5000  0.0000  6 Y 3.43-3.57, 4 Dy 3.50-3.55
Dy  0.5000  0.0000  0.5000  6 Y 3.43-3.57, 4 Dy 3.50-3.55
Y  0.0000  0.1351  0.3835  1 Sc 3.25, 6 Dy 3.43-3.60, 2 Y 3.50
Y  0.0000  0.8649  0.6165  1 Sc 3.25, 6 Dy 3.43-3.60, 2 Y 3.50
Y  0.0000  0.6351  0.1165  1 Sc 3.25, 6 Dy 3.43-3.60, 2 Y 3.50
Y  0.0000  0.3649  0.8835  1 Sc 3.25, 6 Dy 3.43-3.60, 2 Y 3.50
Y  0.5000  0.3342  0.1403  2 Sc 3.42, 6 Y 3.50-3.68, 4 Dy 3.57-3.80
Y  0.5000  0.6658  0.8597  2 Sc 3.42, 6 Y 3.50-3.68, 4 Dy 3.57-3.80
Y  0.5000  0.8342  0.3597  2 Sc 3.42, 6 Y 3.50-3.68, 4 Dy 3.57-3.80
Y  0.5000  0.1658  0.6403  2 Sc 3.42, 6 Y 3.50-3.68, 4 Dy 3.57-3.80
Y  0.0000  0.5359  0.3883  1 Sc 3.33, 4 Y 3.50-3.67, 6 Dy 3.52-3.55
Y  0.0000  0.4641  0.6117  1 Sc 3.33, 4 Y 3.50-3.67, 6 Dy 3.52-3.55
Y  0.0000  0.0359  0.1117  1 Sc 3.33, 4 Y 3.50-3.67, 6 Dy 3.52-3.55
Y  0.0000  0.9641  0.8883  1 Sc 3.33, 4 Y 3.50-3.67, 6 Dy 3.52-3.55
Sc  0.0000  0.3356  0.2727  4 Dy 3.21-3.22, 4 Y 3.25-3.42, 2 Sc 3.50
Sc  0.0000  0.6644  0.7273  4 Dy 3.21-3.22, 4 Y 3.25-3.42, 2 Sc 3.50
Sc  0.0000  0.8356  0.2273  4 Dy 3.21-3.22, 4 Y 3.25-3.42, 2 Sc 3.50
Sc  0.0000  0.1644  0.7727  4 Dy 3.21-3.22, 4 Y 3.25-3.42, 2 Sc 3.50

Output
E_form = 0.143 eV/atom
mass density = 5.797 Mg/m³

=====

4.
## Dy3YSc6 (GGA-PBE)

Data for a geometry-optimized Dy3YSc6 structure.

Unit cell a=5.8616 b=10.3956 c=10.3956 alpha=119.40 beta=90.00 gamma=90.00
Last column: nearest neighbours and their distance in Å.
Fractional positions:
Dy  0.4701  0.9275  0.7188  6 Sc 3.10-3.44, 1 Y 3.22, 1 Dy 3.43
Dy  0.9701  0.7188  0.9275  6 Sc 3.10-3.44, 1 Y 3.22, 1 Dy 3.43
Dy  0.0625  0.3977  0.6023  5 Sc 3.15-3.33, 1 Y 3.39, 2 Dy 3.43
Dy  0.5625  0.6023  0.3977  5 Sc 3.15-3.33, 1 Y 3.39, 2 Dy 3.43
Dy  0.9701  0.0725  0.2812  6 Sc 3.10-3.44, 1 Y 3.22, 1 Dy 3.43
Dy  0.4701  0.2812  0.0725  6 Sc 3.10-3.44, 1 Y 3.22, 1 Dy 3.43
Y  0.1654  0.2121  0.7879  7 Sc 3.09-3.43, 3 Dy 3.22-3.39
Y  0.6654  0.7879  0.2121  7 Sc 3.09-3.43, 3 Dy 3.22-3.39
Sc  0.0167  0.7226  0.6150  6 Sc 3.20-3.54, 4 Dy 3.24-3.33
Sc  0.5167  0.6150  0.7226  6 Sc 3.20-3.54, 4 Dy 3.24-3.33
Sc  0.3588  0.5443  0.9758  2 Y 3.09-3.22, 2 Dy 3.10-3.41, 5 Sc 3.15-3.20
Sc  0.8588  0.9758  0.5443  2 Y 3.09-3.22, 2 Dy 3.10-3.41, 5 Sc 3.15-3.20
Sc  0.4328  0.9514  0.0486  1 Y 3.24, 4 Dy 3.32-3.44, 4 Sc 3.41-3.51
Sc  0.6336  0.2920  0.7080  2 Y 3.10-3.43, 1 Dy 3.15, 6 Sc 3.15-3.36
Sc  0.1336  0.7080  0.2920  2 Y 3.10-3.43, 1 Dy 3.15, 6 Sc 3.15-3.36
Sc  0.9328  0.0486  0.9514  1 Y 3.24, 4 Dy 3.32-3.44, 4 Sc 3.41-3.51
Sc  0.3588  0.0242  0.4557  2 Y 3.09-3.22, 2 Dy 3.10-3.41, 5 Sc 3.15-3.20
Sc  0.8588  0.4557  0.0242  2 Y 3.09-3.22, 2 Dy 3.10-3.41, 5 Sc 3.15-3.20
Sc  0.0167  0.3850  0.2774  6 Sc 3.20-3.54, 4 Dy 3.24-3.33
Sc  0.5167  0.2774  0.3850  6 Sc 3.20-3.54, 4 Dy 3.24-3.33

Output
E_form = 0.166 eV/atom
distance to the lowest polymorph of the same formula = 0.00 eV per formula unit
mass density = 5.092 Mg/m³

=====

5.
## Dy8Y4Sc (GGA-PBE)

Data for a geometry-optimized Dy8Y4Sc structure.

Unit cell a=10.9121 b=10.9121 c=7.7062 alpha=90.00 beta=135.07 gamma=120.00
Last column: nearest neighbours and their distance in Å.
Fractional positions:
Dy  0.5118  0.7559  0.2678  4 Y 3.25-3.37, 1 Sc 3.41
Dy  0.4882  0.2441  0.7322  4 Y 3.25-3.37, 1 Sc 3.41
Dy  0.4881  0.2440  0.2425  4 Y 3.27-3.36, 1 Sc 3.41
Dy  0.0015  0.2456  0.7575  4 Y 3.27-3.36, 1 Sc 3.41
Dy  0.5119  0.7560  0.7575  4 Y 3.27-3.36, 1 Sc 3.41
Dy  0.0015  0.7559  0.7575  4 Y 3.27-3.36, 1 Sc 3.41
Dy  0.9985  0.2441  0.2425  4 Y 3.27-3.36, 1 Sc 3.41
Dy  0.9985  0.7544  0.2425  4 Y 3.27-3.36, 1 Sc 3.41
Y  0.0000  0.0000  0.0000  8 Dy 3.25-3.27
Y  0.0000  0.5000  0.0000  8 Dy 3.36-3.37
Y  0.5000  0.5000  0.0000  8 Dy 3.36-3.37
Y  0.5000  0.0000  0.0000  8 Dy 3.36-3.37
Sc  0.0000  0.5000  0.5000  8 Dy 3.41

Output
E_form = 0.530 eV/atom
mass density = 6.171 Mg/m³

=====

6.
## Dy7Y2Sc2 (GGA-PBE)

Data for a geometry-optimized Dy7Y2Sc2 structure.

Unit cell a=6.0530 b=8.5652 c=7.8175 alpha=111.25 beta=82.75 gamma=118.14
Last column: nearest neighbours and their distance in Å.
Fractional positions:
Dy  0.1769  0.9043  0.5452  2 Sc 3.44-3.47, 8 Dy 3.47-3.55, 2 Y 3.50-3.54
Dy  0.7243  0.6341  0.1813  6 Dy 3.47-3.54, 3 Y 3.47-3.50, 3 Sc 3.48-3.53
Dy  0.8231  0.0957  0.4548  2 Sc 3.44-3.47, 8 Dy 3.47-3.55, 2 Y 3.50-3.54
Dy  0.2757  0.3659  0.8187  6 Dy 3.47-3.54, 3 Y 3.47-3.50, 3 Sc 3.48-3.53
Dy  0.0000  0.0000  0.0000  4 Y 3.49-3.54, 6 Dy 3.50-3.52, 2 Sc 3.51
Dy  0.5397  0.7242  0.6353  3 Sc 3.44-3.49, 7 Dy 3.47-3.54, 2 Y 3.51-3.54
Dy  0.4603  0.2758  0.3647  3 Sc 3.44-3.49, 7 Dy 3.47-3.54, 2 Y 3.51-3.54
Y  0.6443  0.1870  0.9094  9 Dy 3.47-3.54, 2 Sc 3.48-3.49, 1 Y 3.56
Y  0.3557  0.8130  0.0906  9 Dy 3.47-3.54, 2 Sc 3.48-3.49, 1 Y 3.56
Sc  0.0917  0.4544  0.2767  9 Dy 3.44-3.53, 1 Sc 3.45, 2 Y 3.48-3.49
Sc  0.9083  0.5456  0.7233  9 Dy 3.44-3.53, 1 Sc 3.45, 2 Y 3.48-3.49

Output
E_form = 0.040 eV/atom
distance to the lowest polymorph of the same formula = 0.00 eV per formula unit
mass density = 7.016 Mg/m³

=====

7.
## Dy4Y5Sc (GGA-PBE)

Data for a geometry-optimized Dy4Y5Sc structure.

Unit cell a=5.7742 b=8.0176 c=8.0176 alpha=82.55 beta=68.89 gamma=68.89
Last column: nearest neighbours and their distance in Å.
Fractional positions:
Dy  0.4485  0.3244  0.6755  3 Y 3.31-3.66
Dy  0.7729  0.6755  0.6756  3 Y 3.31-3.66
Dy  0.1240  0.3245  0.3244  3 Y 3.31-3.66
Dy  0.4485  0.6756  0.3245  3 Y 3.31-3.66
Y  0.7750  0.3739  0.0000  1 Sc 3.12, 3 Y 3.27-3.45, 2 Dy 3.31
Y  0.1488  0.0000  0.6261  1 Sc 3.12, 3 Y 3.27-3.45, 2 Dy 3.31
Y  0.7750  0.0000  0.3739  1 Sc 3.12, 3 Y 3.27-3.45, 2 Dy 3.31
Y  0.1489  0.6261  0.0000  1 Sc 3.12, 3 Y 3.27-3.45, 2 Dy 3.31
Y  0.6675  0.0000  0.0000  1 Sc 2.69
Sc  0.2011  0.0000  0.0000  1 Y 2.69

Output
E_form = 0.247 eV/atom
distance to the lowest polymorph of the same formula = 1.07 eV per formula unit
mass density = 5.857 Mg/m³

=====

8.
## DyY5Sc4 (GGA-PBE)

Data for a geometry-optimized DyY5Sc4 structure.

Unit cell a=7.6499 b=8.8133 c=8.8124 alpha=90.00 beta=90.00 gamma=90.00
Last column: nearest neighbours and their distance in Å.
Fractional positions:
Dy  0.8762  0.0000  0.0000  4 Sc 3.24, 4 Y 3.45
Dy  0.1238  0.5000  0.5000  4 Sc 3.24, 4 Y 3.45
Y  0.2014  0.8088  0.8088  4 Sc 3.18-3.48, 5 Y 3.37-3.55, 1 Dy 3.45
Y  0.2014  0.1912  0.8088  4 Sc 3.18-3.48, 5 Y 3.37-3.55, 1 Dy 3.45
Y  0.9999  0.5000  0.0000  8 Y 3.55, 4 Sc 3.74
Y  0.2014  0.8088  0.1912  4 Sc 3.18-3.48, 5 Y 3.37-3.55, 1 Dy 3.45
Y  0.2014  0.1912  0.1912  4 Sc 3.18-3.48, 5 Y 3.37-3.55, 1 Dy 3.45
Y  0.7986  0.6912  0.3088  4 Sc 3.18-3.48, 5 Y 3.37-3.55, 1 Dy 3.45
Y  0.7986  0.3088  0.3088  4 Sc 3.18-3.48, 5 Y 3.37-3.55, 1 Dy 3.45
Y  0.0001  0.0000  0.5000  8 Y 3.55, 4 Sc 3.74
Y  0.7986  0.3088  0.6912  4 Sc 3.18-3.48, 5 Y 3.37-3.55, 1 Dy 3.45
Y  0.7986  0.6912  0.6912  4 Sc 3.18-3.48, 5 Y 3.37-3.55, 1 Dy 3.45
Sc  0.5888  0.0000  0.7294  4 Sc 3.17-3.37, 4 Y 3.18-3.48, 1 Dy 3.24
Sc  0.5888  0.7297  0.0000  4 Sc 3.17-3.37, 4 Y 3.18-3.48, 1 Dy 3.24
Sc  0.5888  0.2703  0.0000  4 Sc 3.17-3.37, 4 Y 3.18-3.48, 1 Dy 3.24
Sc  0.5888  0.0000  0.2706  4 Sc 3.17-3.37, 4 Y 3.18-3.48, 1 Dy 3.24
Sc  0.4112  0.5000  0.2294  4 Sc 3.17-3.37, 4 Y 3.18-3.48, 1 Dy 3.24
Sc  0.4112  0.7703  0.5000  4 Sc 3.17-3.37, 4 Y 3.18-3.48, 1 Dy 3.24
Sc  0.4112  0.2297  0.5000  4 Sc 3.17-3.37, 4 Y 3.18-3.48, 1 Dy 3.24
Sc  0.4112  0.5000  0.7706  4 Sc 3.17-3.37, 4 Y 3.18-3.48, 1 Dy 3.24

Output
E_form = 0.160 eV/atom
distance to the lowest polymorph of the same formula = 0.96 eV per formula unit
mass density = 4.398 Mg/m³

=====

Repeat the eighth record exactly.
## DyY5Sc4 (GGA-PBE)

Data for a geometry-optimized DyY5Sc4 structure.

Unit cell a=7.6499 b=8.8133 c=8.8124 alpha=90.00 beta=90.00 gamma=90.00
Last column: nearest neighbours and their distance in Å.
Fractional positions:
Dy  0.8762  0.0000  0.0000  4 Sc 3.24, 4 Y 3.45
Dy  0.1238  0.5000  0.5000  4 Sc 3.24, 4 Y 3.45
Y  0.2014  0.8088  0.8088  4 Sc 3.18-3.48, 5 Y 3.37-3.55, 1 Dy 3.45
Y  0.2014  0.1912  0.8088  4 Sc 3.18-3.48, 5 Y 3.37-3.55, 1 Dy 3.45
Y  0.9999  0.5000  0.0000  8 Y 3.55, 4 Sc 3.74
Y  0.2014  0.8088  0.1912  4 Sc 3.18-3.48, 5 Y 3.37-3.55, 1 Dy 3.45
Y  0.2014  0.1912  0.1912  4 Sc 3.18-3.48, 5 Y 3.37-3.55, 1 Dy 3.45
Y  0.7986  0.6912  0.3088  4 Sc 3.18-3.48, 5 Y 3.37-3.55, 1 Dy 3.45
Y  0.7986  0.3088  0.3088  4 Sc 3.18-3.48, 5 Y 3.37-3.55, 1 Dy 3.45
Y  0.0001  0.0000  0.5000  8 Y 3.55, 4 Sc 3.74
Y  0.7986  0.3088  0.6912  4 Sc 3.18-3.48, 5 Y 3.37-3.55, 1 Dy 3.45
Y  0.7986  0.6912  0.6912  4 Sc 3.18-3.48, 5 Y 3.37-3.55, 1 Dy 3.45
Sc  0.5888  0.0000  0.7294  4 Sc 3.17-3.37, 4 Y 3.18-3.48, 1 Dy 3.24
Sc  0.5888  0.7297  0.0000  4 Sc 3.17-3.37, 4 Y 3.18-3.48, 1 Dy 3.24
Sc  0.5888  0.2703  0.0000  4 Sc 3.17-3.37, 4 Y 3.18-3.48, 1 Dy 3.24
Sc  0.5888  0.0000  0.2706  4 Sc 3.17-3.37, 4 Y 3.18-3.48, 1 Dy 3.24
Sc  0.4112  0.5000  0.2294  4 Sc 3.17-3.37, 4 Y 3.18-3.48, 1 Dy 3.24
Sc  0.4112  0.7703  0.5000  4 Sc 3.17-3.37, 4 Y 3.18-3.48, 1 Dy 3.24
Sc  0.4112  0.2297  0.5000  4 Sc 3.17-3.37, 4 Y 3.18-3.48, 1 Dy 3.24
Sc  0.4112  0.5000  0.7706  4 Sc 3.17-3.37, 4 Y 3.18-3.48, 1 Dy 3.24

Output
E_form = 0.160 eV/atom
distance to the lowest polymorph of the same formula = 0.96 eV per formula unit
mass density = 4.398 Mg/m³

=====

Q: Which of these has the lowest E_form?
A: Dy7Y2Sc2

=====

Q: mass density of number 8 (DyY5Sc4)?
A: 4.398 Mg/m³

=====

Q: What is the mass density in the first record?
A: 5.428 Mg/m³